Rb2PrCrO4 PBE+U optimized geometry; density of states at the Fermi level = 0.000 states/eV/cell; VASP energy = -6.234 eV/atom
1.0
3.4725 0.0000 0.0000
0.0000 5.9175 0.0623
0.0000 -2.1041 6.4740
O Pr Rb Cr
4 1 2 1
Direct
0.0000 0.2401 0.8246
0.0000 0.7599 0.1754
0.5000 0.1974 0.1702
0.5000 0.8026 0.8298
0.5000 0.5000 0.0000
0.0000 0.5000 0.5000
0.5000 0.0000 0.5000
0.0000 0.0000 0.0000